1.
# RbY2W2

An optimized crystal structure of RbY2W2 (PBE-GGA, the Alexandria database).

Properties
**ΔE_f**: 1280.6 meV/atom
**Calculated total energy**: -33.40 eV for the cell shown
**Space-group type**: No. 139
**Spin magnetization**: 0.00 μB/f.u.

Cell: 6.054 6.054 6.054 Å, 123.68 123.68 83.73°
Atoms (fractional coordinates):
Rb: 0.000 0.000 0.000
Y: 0.250 0.750 0.500
Y: 0.750 0.250 0.500
W: 0.372 0.372 0.000
W: 0.628 0.628 0.000



2.
# RbY2W

An optimized crystal structure of RbY2W (PBE-GGA, the Alexandria database).

Properties
**ΔE_f**: 1321.4 meV/atom
**Energy above the lowest structure with this stoichiometry**: 0.167 eV/atom
**Calculated total energy**: -43.13 eV for the cell shown
**Space-group type**: No. 141
**Spin magnetization**: 0.00 μB/f.u.

Cell: 8.360 8.360 8.360 Å, 120.25 120.25 89.57°
Atoms (fractional coordinates):
Rb: 0.375 0.625 0.750
Rb: 0.625 0.375 0.250
Y: 0.000 0.000 0.000
Y: 0.000 0.000 0.500
Y: 0.000 0.500 0.000
Y: 0.500 0.000 0.500
W: 0.125 0.875 0.250
W: 0.875 0.125 0.750



3.
# RbY2ZrW

An optimized crystal structure of RbY2ZrW (PBE-GGA, the Alexandria database).

Properties
**ΔE_f**: 2188.7 meV/atom
**Calculated total energy**: -24.45 eV for the cell shown
**Space-group type**: No. 123
**Spin magnetization**: 0.05 μB/f.u.

Cell: 5.444 5.444 5.490 Å, 90.00 90.00 90.00°
Atoms (fractional coordinates):
Rb: 0.000 0.000 0.000
Y: 0.000 0.500 0.500
Y: 0.500 0.000 0.500
Zr: 0.000 0.000 0.500
W: 0.500 0.500 0.000



4.
# Rb3ZnW

An optimized crystal structure of Rb3ZnW (PBE-GGA, the Alexandria database).

Properties
**ΔE_f**: 1464.7 meV/atom
**Energy above the lowest structure with this stoichiometry**: 0.000 eV/atom
**Calculated total energy**: -9.81 eV for the cell shown
**Space-group type**: No. 221
**Spin magnetization**: 6.63 μB/f.u.

Cell: 7.165 7.165 7.165 Å, 90.00 90.00 90.00°
Atoms (fractional coordinates):
Rb: 0.000 0.000 0.500
Rb: 0.000 0.500 0.000
Rb: 0.500 0.000 0.000
Zn: 0.500 0.500 0.500
W: 0.000 0.000 0.000



5.
# Rb2ZnW2

An optimized crystal structure of Rb2ZnW2 (PBE-GGA, the Alexandria database).

Properties
**ΔE_f**: 1621.8 meV/atom
**Energy above the lowest structure with this stoichiometry**: 0.532 eV/atom
**Calculated total energy**: -42.01 eV for the cell shown
**Space-group type**: No. 127
**Spin magnetization**: 0.00 μB/f.u.

Cell: 10.968 10.968 2.909 Å, 90.00 90.00 90.00°
Atoms (fractional coordinates):
Rb: 0.209 0.291 0.000
Rb: 0.291 0.791 0.000
Rb: 0.709 0.209 0.000
Rb: 0.791 0.709 0.000
Zn: 0.000 0.000 0.000
Zn: 0.500 0.500 0.000
W: 0.072 0.572 0.500
W: 0.428 0.072 0.500
W: 0.572 0.928 0.500
W: 0.928 0.428 0.500



6.
# Rb2ZnW2

An optimized crystal structure of Rb2ZnW2 (PBE-GGA, the Alexandria database).

Properties
**ΔE_f**: 1089.9 meV/atom
**Energy above the lowest structure with this stoichiometry**: 0.000 eV/atom
**Calculated total energy**: -23.67 eV for the cell shown
**Space-group type**: No. 139
**Spin magnetization**: 0.04 μB/f.u.

Cell: 12.589 12.589 12.589 Å, 163.45 163.45 23.49°
Atoms (fractional coordinates):
Rb: 0.114 0.114 0.000
Rb: 0.886 0.886 0.000
Zn: 0.500 0.500 0.000
W: 0.250 0.750 0.500
W: 0.750 0.250 0.500



7.
# RbZrW2

An optimized crystal structure of RbZrW2 (PBE-GGA, the Alexandria database).

Properties
**ΔE_f**: 2045.5 meV/atom
**Energy above the lowest structure with this stoichiometry**: 0.051 eV/atom
**Calculated total energy**: -27.24 eV for the cell shown
**Space-group type**: No. 225
**Spin magnetization**: 0.00 μB/f.u.

Cell: 4.931 4.931 4.931 Å, 60.00 60.00 60.00°
Atoms (fractional coordinates):
Rb: 0.000 0.000 0.000
Zr: 0.500 0.500 0.500
W: 0.250 0.250 0.250
W: 0.750 0.750 0.750



8.
# Rb2ZrW

An optimized crystal structure of Rb2ZrW (PBE-GGA, the Alexandria database).

Properties
**ΔE_f**: 1716.9 meV/atom
**Energy above the lowest structure with this stoichiometry**: 0.000 eV/atom
**Calculated total energy**: -33.14 eV for the cell shown
**Space-group type**: No. 122
**Spin magnetization**: 1.38 μB/f.u.

Cell: 9.759 9.759 9.759 Å, 93.61 93.61 150.93°
Atoms (fractional coordinates):
Rb: 0.375 0.222 0.347
Rb: 0.778 0.125 0.153
Rb: 0.875 0.028 0.653
Rb: 0.972 0.625 0.847
Zr: 0.250 0.750 0.500
Zr: 0.500 0.500 0.000
W: 0.000 0.000 0.000
W: 0.750 0.250 0.500



9.
# RbZrW2

An optimized crystal structure of RbZrW2 (PBE-GGA, the Alexandria database).

Properties
**ΔE_f**: 1995.0 meV/atom
**Energy above the lowest structure with this stoichiometry**: 0.000 eV/atom
**Calculated total energy**: -54.88 eV for the cell shown
**Space-group type**: No. 122
**Spin magnetization**: 0.00 μB/f.u.

Cell: 10.507 10.507 10.507 Å, 153.90 153.90 37.24°
Atoms (fractional coordinates):
Rb: 0.000 0.000 0.000
Rb: 0.750 0.250 0.500
Zr: 0.250 0.750 0.500
Zr: 0.500 0.500 0.000
W: 0.284 0.625 0.159
W: 0.375 0.534 0.659
W: 0.466 0.125 0.841
W: 0.875 0.716 0.341



10.
# Rb2ZrW

An optimized crystal structure of Rb2ZrW (PBE-GGA, the Alexandria database).

Properties
**ΔE_f**: 2368.0 meV/atom
**Energy above the lowest structure with this stoichiometry**: 0.651 eV/atom
**Calculated total energy**: -13.96 eV for the cell shown
**Space-group type**: No. 225
**Spin magnetization**: 1.90 μB/f.u.

Cell: 5.859 5.859 5.859 Å, 60.00 60.00 60.00°
Atoms (fractional coordinates):
Rb: 0.250 0.250 0.250
Rb: 0.750 0.750 0.750
Zr: 0.000 0.000 0.000
W: 0.500 0.500 0.500



11.
# Rb3Y

An optimized crystal structure of Rb3Y (PBE-GGA, the Alexandria database).

Properties
**ΔE_f**: 619.0 meV/atom
**Calculated total energy**: -6.89 eV for the cell shown
**Space-group type**: No. 225
**Spin magnetization**: 1.19 μB/f.u.

Cell: 7.171 7.171 7.171 Å, 60.00 60.00 60.00°
Atoms (fractional coordinates):
Rb: 0.000 0.000 0.000
Rb: 0.250 0.250 0.250
Rb: 0.750 0.750 0.750
Y: 0.500 0.500 0.500



12.
# Rb3Y

An optimized crystal structure of Rb3Y (PBE-GGA, the Alexandria database).

Properties
**ΔE_f**: 607.2 meV/atom
**Calculated total energy**: -6.94 eV for the cell shown
**Space-group type**: No. 139
**Spin magnetization**: 1.27 μB/f.u.

Cell: 7.886 7.886 7.886 Å, 132.90 132.90 68.82°
Atoms (fractional coordinates):
Rb: 0.000 0.000 0.000
Rb: 0.250 0.750 0.500
Rb: 0.750 0.250 0.500
Y: 0.500 0.500 0.000